! LiMnZn2Ir (PBEsol, relaxed); values from VASP
&SYSTEM
  ibrav = 0, nat = 5, ntyp = 4
/
ATOMIC_SPECIES
Zn 65.41 Zn.upf
Li 6.94 Li.upf
Ir 192.22 Ir.upf
Mn 54.94 Mn.upf
ATOMIC_POSITIONS crystal
Zn 0.000 0.000 0.500
Zn 0.000 0.500 0.000
Li 0.500 0.500 0.500
Ir 0.500 0.000 0.000
Mn 0.000 0.000 0.000
CELL_PARAMETERS angstrom
-0.865 -3.380 2.589
2.847 -2.633 -2.486
3.503 1.202 2.739
! - Energy relative to the elements: 0.684 eV/atom